# 1
First-principles (PBE) data for a geometry-optimized CaAsPt2 structure, as listed in Alexandria via LeMat-Bulk.

Output
**Symmetry**: No. 25
**Energy relative to the elements**: -0.50 eV per atom
**DFT total energy**: -20.74 eV per cell
**V**: 19.4 A^3/atom

a b c (Å): 3.4205 3.6862 6.1621
angles (deg): 90.00 90.00 90.00
With the nearest neighbours (Å) after each atom.
Positions (direct):
Ca 0.0000 0.0000 0.0000  6 Pt 2.96-3.14, 4 As 3.30
As 0.5000 0.5000 0.6532  5 Pt 2.46-2.67
Pt 0.0000 0.0000 0.5096  4 As 2.67, 4 Pt 2.97
Pt 0.5000 0.5000 0.2542  1 As 2.46

=====

# 2
First-principles (PBE) data for a geometry-optimized CaAsPt structure, as listed in Alexandria via LeMat-Bulk.

Output
**Symmetry**: No. 44
**Energy relative to the elements**: -0.52 eV per atom
**DFT total energy**: -14.27 eV per cell
**V**: 21.4 A^3/atom

a b c (Å): 5.0603 5.0603 5.0603
angles (deg): 138.43 130.55 66.53
With the nearest neighbours (Å) after each atom.
Positions (direct):
Ca 0.0000 0.0000 0.0000  5 As 2.86-3.09, 5 Pt 2.98-3.14
As 0.6615 0.6615 0.0000  1 Pt 2.46
Pt 0.3708 0.3708 0.0000  1 As 2.46

=====

# 3
First-principles (PBE) data for a geometry-optimized CaAsPt2 structure, as listed in Alexandria via LeMat-Bulk.

Output
**Symmetry**: No. 6
**Energy relative to the elements**: -0.52 eV per atom
**DFT total energy**: -20.80 eV per cell
**V**: 18.8 A^3/atom

a b c (Å): 3.1148 4.3073 5.8079
angles (deg): 90.00 105.46 90.00
With the nearest neighbours (Å) after each atom.
Positions (direct):
Ca 0.0000 0.0000 0.0000  7 Pt 2.85-3.16, 4 As 3.09, 2 Ca 3.11
As 0.3619 0.5000 0.7191  2 Pt 2.45
Pt 0.2540 0.0000 0.5092  2 As 2.45
Pt 0.6498 0.5000 0.3019  2 As 2.80-2.82, 6 Pt 2.90-3.11

=====

Please write out number 2 again, unchanged.
First-principles (PBE) data for a geometry-optimized CaAsPt structure, as listed in Alexandria via LeMat-Bulk.

Output
**Symmetry**: No. 44
**Energy relative to the elements**: -0.52 eV per atom
**DFT total energy**: -14.27 eV per cell
**V**: 21.4 A^3/atom

a b c (Å): 5.0603 5.0603 5.0603
angles (deg): 138.43 130.55 66.53
With the nearest neighbours (Å) after each atom.
Positions (direct):
Ca 0.0000 0.0000 0.0000  5 As 2.86-3.09, 5 Pt 2.98-3.14
As 0.6615 0.6615 0.0000  1 Pt 2.46
Pt 0.3708 0.3708 0.0000  1 As 2.46